Entry 1:
# Pr4Te2IrCl, optimized geometry, DFT PBE
data_Pr4Te2IrCl
_chemical_formula_sum 'Pr4 Te2 Ir1 Cl1'
_symmetry_space_group_name_H-M 'P 1 2/m 1'
_symmetry_Int_Tables_number 10
_cell_length_a 7.612
_cell_length_b 4.273
_cell_length_c 7.830
_cell_angle_alpha 90.00
_cell_angle_beta 108.48
_cell_angle_gamma 90.00
loop_
_symmetry_equiv_pos_as_xyz
'x,y,z'
'-x,-y,-z'
'-x,y,-z'
'x,-y,z'
loop_
_atom_site_label
_atom_site_fract_x
_atom_site_fract_y
_atom_site_fract_z
Pr1 0.215 0.000 0.211
Pr2 0.242 0.500 0.771
Te1 0.000 0.000 0.500
Te2 0.500 0.500 0.500
Ir1 0.000 0.500 0.000
Cl1 0.500 0.000 0.000
# Total magnetization ... 0.00 μB/cell
# Calculated density ... 7.19 g/cm3
# Raw total energy ... -5.773 eV/atom

=====

Entry 2:
# PrThIrCl, optimized geometry, DFT PBE
data_PrThIrCl
_chemical_formula_sum 'Pr3 Th3 Ir3 Cl3'
_symmetry_space_group_name_H-M 'R 3 m'
_symmetry_Int_Tables_number 160
_symmetry_space_group_name_Hall 'R 3 -2"'
_cell_length_a 4.1775
_cell_length_b 4.1775
_cell_length_c 23.2765
_cell_angle_alpha 90.00
_cell_angle_beta 90.00
_cell_angle_gamma 120.00
loop_
_atom_site_label
_atom_site_fract_x
_atom_site_fract_y
_atom_site_fract_z
Pr1 0.0000 0.0000 0.0000
Th1 0.0000 0.0000 0.2032
Ir1 0.0000 0.0000 0.5963
Cl1 0.0000 0.0000 0.7710
# Total magnetization ... 0.00 μB/cell
# Calculated density ... 8.51 g/cm3
# Raw total energy ... -6.885 eV/atom

=====

Entry 3:
# Pr6ZnIr2Cl3, optimized geometry, DFT PBE
data_Pr6ZnIr2Cl3
_chemical_formula_sum 'Pr12 Zn2 Ir4 Cl6'
_symmetry_space_group_name_H-M 'C 1 2/m 1'
_symmetry_Int_Tables_number 12
_cell_length_a 7.265
_cell_length_b 12.612
_cell_length_c 7.927
_cell_angle_alpha 90.00
_cell_angle_beta 107.76
_cell_angle_gamma 90.00
loop_
_symmetry_equiv_pos_as_xyz
'x,y,z'
'-x,-y,-z'
'-x,y,-z'
'x,-y,z'
'x+1/2,y+1/2,z'
'-x+1/2,-y+1/2,-z'
'-x+1/2,y+1/2,-z'
'x+1/2,-y+1/2,z'
loop_
_atom_site_label
_atom_site_fract_x
_atom_site_fract_y
_atom_site_fract_z
Pr1 0.218 0.000 0.213
Pr2 0.246 0.324 0.212
Zn1 0.000 0.500 0.000
Ir1 0.000 0.166 0.000
Cl1 0.000 0.000 0.500
Cl2 0.000 0.331 0.500
# Total magnetization ... 0.00 μB/cell
# Calculated density ... 6.73 g/cm3
# Raw total energy ... -5.485 eV/atom

=====

Entry 4:
# IrPtCl, optimized geometry, DFT PBE
data_IrPtCl
_chemical_formula_sum 'Ir1 Pt1 Cl1'
_symmetry_space_group_name_H-M 'P 3 m 1'
_symmetry_Int_Tables_number 156
_cell_length_a 2.9944
_cell_length_b 2.9944
_cell_length_c 6.2979
_cell_angle_alpha 90.00
_cell_angle_beta 90.00
_cell_angle_gamma 120.00
loop_
_symmetry_equiv_pos_as_xyz
'x,y,z'
'-y,x-y,z'
'-x+y,-x,z'
'-y,-x,z'
'-x+y,y,z'
'x,x-y,z'
loop_
_atom_site_label
_atom_site_fract_x
_atom_site_fract_y
_atom_site_fract_z
Ir1 0.0000 0.0000 0.0000
Pt1 0.3333 0.6667 0.3191
Cl1 0.6667 0.3333 0.6863
# Total magnetization ... 0.09 μB/cell
# Calculated density ... 14.35 g/cm3
# Raw total energy ... -4.989 eV/atom

=====

Entry 5:
# IrPtCl, optimized geometry, DFT PBE
data_IrPtCl
_chemical_formula_sum 'Ir2 Pt2 Cl2'
_symmetry_space_group_name_H-M 'I 4 m m'
_symmetry_Int_Tables_number 107
_symmetry_space_group_name_Hall 'I 4 -2'
_cell_length_a 2.933
_cell_length_b 2.933
_cell_length_c 12.498
_cell_angle_alpha 90.00
_cell_angle_beta 90.00
_cell_angle_gamma 90.00
loop_
_atom_site_label
_atom_site_fract_x
_atom_site_fract_y
_atom_site_fract_z
Ir1 0.000 0.000 0.000
Pt1 0.000 0.000 0.366
Cl1 0.000 0.000 0.643
# Total magnetization ... 2.36 μB/cell
# Calculated density ... 13.06 g/cm3
# Raw total energy ... -4.851 eV/atom

=====

Entry 6:
# IrPtCl, optimized geometry, DFT PBE
data_IrPtCl
_chemical_formula_sum 'Ir4 Pt4 Cl4'
_symmetry_space_group_name_H-M 'F m m 2'
_symmetry_Int_Tables_number 42
_symmetry_space_group_name_Hall 'F 2 -2'
_cell_length_a 2.807
_cell_length_b 5.171
_cell_length_c 13.348
_cell_angle_alpha 90.00
_cell_angle_beta 90.00
_cell_angle_gamma 90.00
loop_
_atom_site_label
_atom_site_fract_x
_atom_site_fract_y
_atom_site_fract_z
Ir1 0.000 0.000 0.000
Pt1 0.000 0.000 0.667
Cl1 0.000 0.000 0.348
# Total magnetization ... 0.00 μB/cell
# Calculated density ... 14.50 g/cm3
# Raw total energy ... -5.077 eV/atom

=====

Entry 7:
# Ir4PtCl, optimized geometry, DFT PBE
data_Ir4PtCl
_chemical_formula_sum 'Ir16 Pt4 Cl4'
_symmetry_space_group_name_H-M 'F -4 3 m'
_symmetry_Int_Tables_number 216
_symmetry_space_group_name_Hall 'F -4 2 3'
_cell_length_a 7.396
_cell_length_b 7.396
_cell_length_c 7.396
_cell_angle_alpha 90.00
_cell_angle_beta 90.00
_cell_angle_gamma 90.00
loop_
_atom_site_label
_atom_site_fract_x
_atom_site_fract_y
_atom_site_fract_z
Ir1 0.125 0.125 0.125
Pt1 0.250 0.250 0.750
Cl1 0.000 0.000 0.500
# Total magnetization ... 9.23 μB/cell
# Calculated density ... 16.41 g/cm3
# Raw total energy ... -6.134 eV/atom

=====

Entry 8:
# IrPtCl, optimized geometry, DFT PBE
data_IrPtCl
_chemical_formula_sum 'Ir1 Pt1 Cl1'
_symmetry_space_group_name_H-M 'P 3 m 1'
_symmetry_Int_Tables_number 156
_cell_length_a 3.6140
_cell_length_b 3.6140
_cell_length_c 5.4768
_cell_angle_alpha 90.00
_cell_angle_beta 90.00
_cell_angle_gamma 120.00
loop_
_symmetry_equiv_pos_as_xyz
'x,y,z'
'-y,x-y,z'
'-x+y,-x,z'
'-y,-x,z'
'-x+y,y,z'
'x,x-y,z'
loop_
_atom_site_label
_atom_site_fract_x
_atom_site_fract_y
_atom_site_fract_z
Ir1 0.0000 0.0000 0.0000
Pt1 0.6667 0.3333 0.2581
Cl1 0.3333 0.6667 0.7733
# Total magnetization ... 0.00 μB/cell
# Calculated density ... 11.33 g/cm3
# Raw total energy ... -5.108 eV/atom